This record from Alexandria via LeMat-Bulk describes crystalline MgCu2Ag at its relaxed geometry. The functional is GGA-PBEsol.

As for the density of states at the Fermi level: 0.309 states/eV/atom. The value obtained for the formation energy is -0.04 eV/atom. Its crystal system is tetragonal.

The space group is I-4m2 (No. 119) and the conventional cell measures 3.8509, 3.8509 and 7.6240 Å, with angles of 90.00, 90.00 and 90.00 degrees. The distinct sites, in fractional coordinates, are Mg at (0.0000, 0.0000, 0.0000), Cu at (0.0000, 0.0000, 0.5000), Cu at (0.0000, 0.5000, 0.7500) and Ag at (0.0000, 0.5000, 0.2500).

This record from Alexandria via LeMat-Bulk describes crystalline Mg2CuAg at its relaxed geometry. The functional is GGA-PBEsol.

As for the density of states at the Fermi level: 0.288 states/eV/atom. The value obtained for the formation energy is -0.15 eV/atom. Its crystal system is tetragonal.

The space group is P4/mmm (No. 123) and the conventional cell measures 3.1490, 3.1490 and 6.5699 Å, with angles of 90.00, 90.00 and 90.00 degrees. The distinct sites, in fractional coordinates, are Mg at (0.0000, 0.0000, 0.2338), Cu at (0.5000, 0.5000, 0.0000) and Ag at (0.5000, 0.5000, 0.5000).

This record from Alexandria via LeMat-Bulk describes crystalline MgCuAg2 at its relaxed geometry. The functional is GGA-PBEsol.

As for the density of states at the Fermi level: 0.306 states/eV/atom. The value obtained for the formation energy is -0.05 eV/atom. Its crystal system is orthorhombic.

The space group is Pmm2 (No. 25) and the conventional cell measures 2.9321, 3.8120 and 5.6123 Å, with angles of 90.00, 90.00 and 90.00 degrees. The distinct sites, in fractional coordinates, are Mg at (0.0000, 0.0000, 0.0000), Cu at (0.5000, 0.5000, 0.7514), Ag at (0.0000, 0.0000, 0.5231) and Ag at (0.5000, 0.5000, 0.2556).

This record from Alexandria via LeMat-Bulk describes crystalline Mg2CuAg at its relaxed geometry. The functional is GGA-PBEsol.

As for the density of states at the Fermi level: 0.239 states/eV/atom. The value obtained for the formation energy is -0.10 eV/atom. Its crystal system is tetragonal.

The space group is I-4m2 (No. 119) and the conventional cell measures 3.8956, 3.8956 and 8.5680 Å, with angles of 90.00, 90.00 and 90.00 degrees. The distinct sites, in fractional coordinates, are Mg at (0.0000, 0.0000, 0.0000), Mg at (0.0000, 0.5000, 0.2500), Cu at (0.0000, 0.5000, 0.7500) and Ag at (0.0000, 0.0000, 0.5000).

This record from Alexandria via LeMat-Bulk describes crystalline MgCu2Ag at its relaxed geometry. The functional is GGA-PBEsol.

As for the density of states at the Fermi level: 0.300 states/eV/atom. The value obtained for the formation energy is 0.03 eV/atom. Its crystal system is monoclinic.

The space group is P2/m (No. 10) and the conventional cell measures 4.5576, 2.8645 and 4.5706 Å, with angles of 90.00, 107.17 and 90.00 degrees. The distinct sites, in fractional coordinates, are Mg at (0.0000, 0.0000, 0.0000), Cu at (0.5000, 0.0000, 0.5000), Cu at (0.5000, 0.5000, 0.0000) and Ag at (0.0000, 0.5000, 0.5000).

This record from Alexandria via LeMat-Bulk describes crystalline MgCuAg2 at its relaxed geometry. The functional is GGA-PBEsol.

As for the density of states at the Fermi level: 0.301 states/eV/atom. The value obtained for the formation energy is -0.09 eV/atom. Its crystal system is tetragonal.

The space group is I-4m2 (No. 119) and the conventional cell measures 3.9563, 3.9563 and 7.9545 Å, with angles of 90.00, 90.00 and 90.00 degrees. The distinct sites, in fractional coordinates, are Mg at (0.0000, 0.0000, 0.0000), Cu at (0.0000, 0.5000, 0.7500), Ag at (0.0000, 0.0000, 0.5000) and Ag at (0.0000, 0.5000, 0.2500).

This record from Alexandria via LeMat-Bulk describes crystalline MgCuAg at its relaxed geometry. The functional is GGA-PBEsol.

As for the density of states at the Fermi level: 0.315 states/eV/atom. The value obtained for the formation energy is -0.07 eV/atom. Its crystal system is tetragonal.

The space group is I4mm (No. 107) and the conventional cell measures 3.1949, 3.1949 and 9.0420 Å, with angles of 90.00, 90.00 and 90.00 degrees. The distinct sites, in fractional coordinates, are Mg at (0.0000, 0.0000, 0.0000), Cu at (0.0000, 0.0000, 0.6620) and Ag at (0.0000, 0.0000, 0.3186).

This record from Alexandria via LeMat-Bulk describes crystalline Mg2CuAg at its relaxed geometry. The functional is GGA-PBEsol.

As for the density of states at the Fermi level: 0.323 states/eV/atom. The value obtained for the formation energy is -0.11 eV/atom. Its crystal system is monoclinic.

The space group is Cm (No. 8) and the conventional cell measures 9.9057, 3.1278 and 4.5683 Å, with angles of 90.00, 110.47 and 90.00 degrees. The distinct sites, in fractional coordinates, are Mg at (0.0000, 0.0000, 0.0000), Mg at (0.2181, 0.0000, 0.6721), Cu at (0.4800, 0.0000, 0.4891) and Ag at (0.2565, 0.5000, 0.2056).

This record from Alexandria via LeMat-Bulk describes crystalline Mg2CuAg at its relaxed geometry. The functional is GGA-PBEsol.

As for the density of states at the Fermi level: 0.317 states/eV/atom. The value obtained for the formation energy is -0.11 eV/atom. Its crystal system is orthorhombic.

The space group is Imm2 (No. 44) and the conventional cell measures 3.1840, 4.4876 and 9.2566 Å, with angles of 90.00, 90.00 and 90.00 degrees. The distinct sites, in fractional coordinates, are Mg at (0.0000, 0.0000, 0.0000), Mg at (0.0000, 0.5000, 0.2196), Cu at (0.0000, 0.0000, 0.4845) and Ag at (0.0000, 0.5000, 0.7589).

This record from Alexandria via LeMat-Bulk describes crystalline MgCuAg2 at its relaxed geometry. The functional is GGA-PBEsol.

As for the density of states at the Fermi level: 0.340 states/eV/atom. The value obtained for the formation energy is -0.04 eV/atom. Its crystal system is monoclinic.

The space group is Cm (No. 8) and the conventional cell measures 9.4082, 2.9895 and 4.6175 Å, with angles of 90.00, 105.53 and 90.00 degrees. The distinct sites, in fractional coordinates, are Mg at (0.0000, 0.0000, 0.0000), Cu at (0.2441, 0.5000, 0.2631), Ag at (0.2425, 0.0000, 0.7578) and Ag at (0.4840, 0.0000, 0.4819).

This record from Alexandria via LeMat-Bulk describes crystalline MgCuAg2 at its relaxed geometry. The functional is GGA-PBEsol.

As for the density of states at the Fermi level: 0.208 states/eV/atom. The value obtained for the formation energy is -0.05 eV/atom. Its crystal system is cubic.

The space group is F-43m (No. 216) and the conventional cell measures 6.3088, 6.3088 and 6.3088 Å, with angles of 90.00, 90.00 and 90.00 degrees. The distinct sites, in fractional coordinates, are Mg at (0.0000, 0.0000, 0.0000), Cu at (0.2500, 0.2500, 0.7500), Ag at (0.0000, 0.0000, 0.5000) and Ag at (0.2500, 0.2500, 0.2500).

This record from Alexandria via LeMat-Bulk describes crystalline Mg2CuAg at its relaxed geometry. The functional is GGA-PBEsol.

As for the density of states at the Fermi level: 0.274 states/eV/atom. The value obtained for the formation energy is -0.13 eV/atom. Its crystal system is orthorhombic.

The space group is Pmm2 (No. 25) and the conventional cell measures 3.1843, 4.5329 and 4.5336 Å, with angles of 90.00, 90.00 and 90.00 degrees. The distinct sites, in fractional coordinates, are Mg at (0.0000, 0.0000, 0.0000), Mg at (0.0000, 0.5000, 0.4982), Cu at (0.5000, 0.5000, 0.9979) and Ag at (0.5000, 0.0000, 0.5004).